Entry 1:
Computed, not measured: crystalline Cs2Cd2Te3 at its relaxed geometry at the PBE-GGA level of DFT.

Results
- formation energy (no corrections) (eV/atom) = -0.77
- polymorph energy (0 for the lowest one) (eV/atom) = 0.000
- total DFT energy (no corrections) (eV/atom) = -2.62
- space-group type = C2/c (15)

Geometry as extended XYZ:
```
28
Lattice="9.5521 -8.5168 0.0000 9.5521 8.5168 0.0000 -3.3834 0.0000 7.3819" Properties=species:S:1:pos:R:3 pbc="T T T"
Cs 7.0145 7.4054 5.5365
Cs 8.7062 4.9453 1.8455
Cs 6.0744 1.5077 3.1774
Cs 4.3827 -1.5077 6.8684
Cs 11.3381 1.5077 0.5136
Cs 9.6464 -1.5077 4.2046
Cs 7.0145 -4.9453 5.5365
Cs 8.7062 -7.4054 1.8455
Cd 3.3381 4.6504 5.4724
Cd 1.6203 1.2875 5.9142
Cd 3.3120 -1.2875 2.2232
Cd 10.6910 4.6504 5.6005
Cd 5.0298 -4.6504 1.7814
Cd 12.4088 1.2875 5.1587
Cd 14.1005 -1.2875 1.4678
Cd 12.3827 -4.6504 1.9095
Te 5.1821 5.0467 3.2385
Te 2.9833 1.2268 0.6444
Te 1.2916 -1.2268 4.3353
Te 4.1864 2.2403 6.8008
Te 12.2304 5.0467 0.4524
Te 9.8427 2.2403 4.2721
Te 5.8781 -2.2403 3.1099
Te 3.4904 -5.0467 6.9295
Te 11.5344 -2.2403 0.5811
Te 14.4292 1.2268 3.0466
Te 12.7375 -1.2268 6.7376
Te 10.5387 -5.0467 4.1434
```

---

Entry 2:
Computed, not measured: crystalline Cs2Cd2Te at its relaxed geometry at the PBE-GGA level of DFT.

Results
- formation energy (no corrections) (eV/atom) = -0.31
- total DFT energy (no corrections) (eV/atom) = -1.65
- density of states at the Fermi level (states/eV/f.u.) = 2.2
- space-group type = P4/mbm (127)

Geometry as extended XYZ:
```
10
Lattice="8.8291 0.0000 0.0000 0.0000 8.8291 0.0000 0.0000 0.0000 5.5817" Properties=species:S:1:pos:R:3 pbc="T T T"
Cs 1.6401 2.7744 0.0000
Cs 2.7744 7.1890 0.0000
Cs 6.0546 1.6401 0.0000
Cs 7.1890 6.0546 0.0000
Cd 1.0823 5.4969 2.7909
Cd 3.3322 1.0823 2.7909
Cd 5.4969 7.7467 2.7909
Cd 7.7467 3.3322 2.7909
Te 0.0000 0.0000 2.7909
Te 4.4145 4.4145 2.7909
```

---

Entry 3:
Computed, not measured: crystalline CsCdTe at its relaxed geometry at the PBE-GGA level of DFT.

Results
- formation energy (no corrections) (eV/atom) = -0.68
- polymorph energy (0 for the lowest one) (eV/atom) = 0.024
- total DFT energy (no corrections) (eV/atom) = -2.31
- space-group type = Immm (71)

Geometry as extended XYZ:
```
12
Lattice="5.4103 0.0000 0.0000 0.0000 5.9910 0.0000 0.0000 0.0000 18.2546" Properties=species:S:1:pos:R:3 pbc="T T T"
Cs 0.0000 0.0000 2.8814
Cs 0.0000 0.0000 15.3732
Cs 2.7051 2.9955 6.2459
Cs 2.7051 2.9955 12.0087
Cd 0.0000 1.6242 9.1273
Cd 0.0000 4.3668 9.1273
Cd 2.7051 1.3713 0.0000
Cd 2.7051 4.6197 0.0000
Te 0.0000 0.0000 6.7544
Te 0.0000 0.0000 11.5002
Te 2.7051 2.9955 2.3729
Te 2.7051 2.9955 15.8817
```

---

Entry 4:
Computed, not measured: crystalline CsCdTe at its relaxed geometry at the PBE-GGA level of DFT.

Results
- formation energy (no corrections) (eV/atom) = -0.64
- polymorph energy (0 for the lowest one) (eV/atom) = 0.060
- total DFT energy (no corrections) (eV/atom) = -2.28
- density of states at the Fermi level (states/eV/f.u.) = 0.1
- space-group type = Imm2 (44)

Geometry as extended XYZ:
```
12
Lattice="4.9567 0.0000 0.0000 0.0000 10.6279 0.0000 0.0000 0.0000 8.8980" Properties=species:S:1:pos:R:3 pbc="T T T"
Cs 0.0000 0.0000 0.0000
Cs 0.0000 5.3140 1.2211
Cs 2.4784 0.0000 5.6701
Cs 2.4784 5.3140 4.4490
Cd 0.0000 1.4678 3.3212
Cd 0.0000 9.1601 3.3212
Cd 2.4784 3.8462 7.7702
Cd 2.4784 6.7817 7.7702
Te 0.0000 2.8427 6.2155
Te 0.0000 7.7852 6.2155
Te 2.4784 2.4712 1.7665
Te 2.4784 8.1567 1.7665
```

---

Entry 5:
Computed, not measured: crystalline CsCdTe at its relaxed geometry at the PBE-GGA level of DFT.

Results
- formation energy (no corrections) (eV/atom) = -0.47
- polymorph energy (0 for the lowest one) (eV/atom) = 0.225
- total DFT energy (no corrections) (eV/atom) = -2.11
- density of states at the Fermi level (states/eV/f.u.) = 1.5
- space-group type = Cm (8)

Geometry as extended XYZ:
```
6
Lattice="11.3174 0.0000 0.0000 0.0000 6.6043 0.0000 -0.0669 0.0000 5.7952" Properties=species:S:1:pos:R:3 pbc="T T T"
Cs 0.0000 0.0000 0.0000
Cs 5.6587 3.3022 0.0000
Cd 3.7603 0.0000 2.8805
Cd 9.4190 3.3022 2.8805
Te 3.7244 0.0000 5.7772
Te 9.3831 3.3022 5.7772
```

---

Entry 6:
Computed, not measured: crystalline CsCdTe3 at its relaxed geometry at the PBE-GGA level of DFT.

Results
- formation energy (no corrections) (eV/atom) = 0.88
- polymorph energy (0 for the lowest one) (eV/atom) = 1.040
- total DFT energy (no corrections) (eV/atom) = -1.36
- density of states at the Fermi level (states/eV/f.u.) = 6.3
- space-group type = Pm-3m (221)

Geometry as extended XYZ:
```
5
Lattice="6.8419 0.0000 0.0000 0.0000 6.8419 0.0000 0.0000 0.0000 6.8419" Properties=species:S:1:pos:R:3 pbc="T T T"
Cs 0.0000 0.0000 0.0000
Cd 3.4210 3.4210 3.4210
Te 0.0000 0.0000 3.4210
Te 0.0000 3.4210 0.0000
Te 3.4210 0.0000 0.0000
```

---

Entry 7:
Computed, not measured: crystalline Cs6CdTe4 at its relaxed geometry at the PBE-GGA level of DFT.

Results
- formation energy (no corrections) (eV/atom) = -0.99
- total DFT energy (no corrections) (eV/atom) = -2.68
- density of states at the Fermi level (states/eV/f.u.) = 0.0
- space-group type = P6_3mc (186)

Geometry as extended XYZ:
```
22
Lattice="11.9266 0.0000 0.0000 -5.9633 10.3287 0.0000 0.0000 0.0000 9.2933" Properties=species:S:1:pos:R:3 pbc="T T T"
Cs -2.5085 5.4375 0.0000
Cs 0.0000 3.0569 2.9838
Cs -3.3159 8.8002 2.9838
Cs 2.6474 1.5285 7.6305
Cs 2.5085 5.4375 0.0000
Cs 0.0000 9.7824 0.0000
Cs 5.9633 0.5463 4.6467
Cs 3.4548 4.8912 4.6467
Cs 3.3159 8.8002 2.9838
Cs 9.2792 1.5285 7.6305
Cs 5.9633 7.2718 7.6305
Cs 8.4718 4.8912 4.6467
Cd 0.0000 6.8858 5.7193
Cd 5.9633 3.4429 1.0726
Te 0.0000 4.0823 6.6250
Te -2.4279 8.2876 6.6250
Te 0.0000 6.8858 2.7568
Te 3.5353 2.0411 1.9784
Te 2.4279 8.2876 6.6250
Te 5.9633 3.4429 7.4034
Te 8.3912 2.0411 1.9784
Te 5.9633 6.2464 1.9784
```

---

Entry 8:
Computed, not measured: crystalline Cs2Cd2Te3 at its relaxed geometry at the PBE-GGA level of DFT.

Results
- formation energy (no corrections) (eV/atom) = -0.75
- polymorph energy (0 for the lowest one) (eV/atom) = 0.020
- total DFT energy (no corrections) (eV/atom) = -2.60
- space-group type = C2/m (12)

Geometry as extended XYZ:
```
14
Lattice="16.1779 0.0000 0.0000 0.0000 4.7834 0.0000 -5.6405 0.0000 7.8987" Properties=species:S:1:pos:R:3 pbc="T T T"
Cs -0.9762 0.0000 2.6703
Cs 3.4247 2.3917 5.2284
Cs 7.1127 2.3917 2.6703
Cs 11.5136 0.0000 5.2284
Cd 2.7663 2.3917 0.5690
Cd -0.3178 0.0000 7.3296
Cd 10.8553 0.0000 0.5690
Cd 7.7711 2.3917 7.3296
Te 0.0000 2.3917 0.0000
Te -1.2851 2.3917 5.9570
Te 3.7336 0.0000 1.9416
Te 8.0890 0.0000 0.0000
Te 6.8039 0.0000 5.9570
Te 11.8225 2.3917 1.9416
```

---

Entry 9:
Computed, not measured: crystalline Cs3CdTe3 at its relaxed geometry at the PBE-GGA level of DFT.

Results
- formation energy (no corrections) (eV/atom) = -0.86
- total DFT energy (no corrections) (eV/atom) = -2.70
- space-group type = C2/m (12)

Geometry as extended XYZ:
```
14
Lattice="7.2279 -2.5558 0.0000 7.2279 2.5558 0.0000 -5.3356 0.0000 17.8054" Properties=species:S:1:pos:R:3 pbc="T T T"
Cs -0.8229 0.0000 4.1104
Cs 2.2039 0.0000 1.5731
Cs 3.7240 0.0000 7.0183
Cs 5.3962 0.0000 10.7871
Cs 6.9163 0.0000 16.2323
Cs 9.9431 0.0000 13.6950
Cd 0.9998 0.0000 10.5371
Cd 8.1204 0.0000 7.2683
Te -0.5262 0.0000 7.9758
Te -0.2168 0.0000 13.0656
Te 6.2777 0.0000 1.0295
Te 2.8425 0.0000 16.7759
Te 9.3370 0.0000 4.7398
Te 9.6464 0.0000 9.8296
```

---

Entry 10:
Computed, not measured: crystalline CsCdTe at its relaxed geometry at the PBE-GGA level of DFT.

Results
- formation energy (no corrections) (eV/atom) = -0.53
- polymorph energy (0 for the lowest one) (eV/atom) = 0.168
- total DFT energy (no corrections) (eV/atom) = -2.17
- density of states at the Fermi level (states/eV/f.u.) = 1.0
- space-group type = Pm (6)

Geometry as extended XYZ:
```
3
Lattice="4.8791 0.0000 0.0000 0.0000 5.5954 0.0000 -2.3173 0.0000 4.9406" Properties=species:S:1:pos:R:3 pbc="T T T"
Cs 0.0000 0.0000 0.0000
Cd 0.0533 2.7977 3.2556
Te 2.5032 2.7977 1.4332
```

---

Entry 11:
Computed, not measured: crystalline CsCdTe at its relaxed geometry at the PBE-GGA level of DFT.

Results
- formation energy (no corrections) (eV/atom) = -0.66
- polymorph energy (0 for the lowest one) (eV/atom) = 0.042
- total DFT energy (no corrections) (eV/atom) = -2.30
- space-group type = P1 (1)

Geometry as extended XYZ:
```
6
Lattice="4.8341 0.0000 0.0000 -2.4103 6.1953 0.0000 -0.0377 -1.7453 8.4470" Properties=species:S:1:pos:R:3 pbc="T T T"
Cs 0.0000 0.0000 0.0000
Cs 0.0057 3.2572 2.3903
Cd 0.0057 -0.6080 4.6906
Cd 2.4258 2.7572 5.2541
Te 0.0058 1.6986 6.7335
Te 2.4212 0.5822 3.1371
```

---

Entry 12:
Computed, not measured: crystalline Cs2Th2CdTe6 at its relaxed geometry at the PBE-GGA level of DFT.

Results
- formation energy (no corrections) (eV/atom) = -1.06
- total DFT energy (no corrections) (eV/atom) = -4.36
- space-group type = C2/m (12)

Geometry as extended XYZ:
```
11
Lattice="3.8934 -6.8805 0.0000 3.8934 6.8805 0.0000 -2.5874 0.0000 9.2243" Properties=species:S:1:pos:R:3 pbc="T T T"
Cs 3.8934 4.6347 0.0000
Cs 3.8934 -4.6347 0.0000
Th 2.5997 2.3051 4.6122
Th 2.5997 -2.3051 4.6122
Cd -1.2937 0.0000 4.6122
Te 0.0218 2.3321 6.3870
Te 1.2299 0.0000 2.9171
Te 0.0218 -2.3321 6.3870
Te 5.1777 2.3321 2.8374
Te 3.9696 0.0000 6.3072
Te 5.1777 -2.3321 2.8374
```

---

Q: The lowest formation energy (no corrections) belongs to which entry?
A: Cs2Th2CdTe6

---

Q: Number 11 is which compound?
A: CsCdTe

---

Q: Which value of formation energy (no corrections) does entry 7 give?
A: -0.99 eV/atom

---

Q: Among the records above, which one has the highest total DFT energy (no corrections)?
A: CsCdTe3